Entry 1:
A relaxed Pr3Co2Ni7 crystal, computed with PBE.

a b c (Å): 8.8262 8.8262 8.8262
angles (deg): 33.31 33.31 33.31
Last column: nearest neighbours and their distance in Å.
Element x y z (fractional)
1 Pr 0.0000 0.0000 0.0000  6 Co 2.92, 12 Ni 3.22
2 Pr 0.1383 0.1383 0.1383  12 Ni 2.92-3.23, 3 Pr 3.25
3 Pr 0.8617 0.8617 0.8617  12 Ni 2.92-3.23, 3 Pr 3.25
4 Co 0.3324 0.3324 0.3324  6 Ni 2.46-2.49
5 Co 0.6676 0.6676 0.6676  6 Ni 2.46-2.49
6 Ni 0.0814 0.5790 0.5790  2 Co 2.46-2.49, 5 Ni 2.52-2.61
7 Ni 0.4210 0.4210 0.9186  2 Co 2.46-2.49, 5 Ni 2.52-2.61
8 Ni 0.4210 0.9186 0.4210  2 Co 2.46-2.49, 5 Ni 2.52-2.61
9 Ni 0.5000 0.5000 0.5000  6 Ni 2.61
10 Ni 0.5790 0.0814 0.5790  2 Co 2.46-2.49, 5 Ni 2.52-2.61
11 Ni 0.5790 0.5790 0.0814  2 Co 2.46-2.49, 5 Ni 2.52-2.61
12 Ni 0.9186 0.4210 0.4210  2 Co 2.46-2.49, 5 Ni 2.52-2.61

Summary:
SG: No. 166
Electronic total energy (eV per atom): -5.970
V (Å³/cell): 184.6

=====

Entry 2:
A relaxed Li8Ca crystal, computed with PBE.

a b c (Å): 7.2037 7.2037 7.2037
angles (deg): 95.33 95.33 144.53
Last column: nearest neighbours and their distance in Å.
Element x y z (fractional)
1 Li 0.0000 0.3431 0.3431  11 Li 3.05-3.22, 1 Ca 3.33
2 Li 0.0000 0.6569 0.6569  11 Li 3.05-3.22, 1 Ca 3.33
3 Li 0.3184 0.3184 0.6368  8 Li 2.89-3.22
4 Li 0.3184 0.6816 0.0000  8 Li 2.89-3.22
5 Li 0.3431 0.0000 0.3431  11 Li 3.05-3.22, 1 Ca 3.33
6 Li 0.6569 0.0000 0.6569  11 Li 3.05-3.22, 1 Ca 3.33
7 Li 0.6816 0.3184 0.0000  8 Li 2.89-3.22
8 Li 0.6816 0.6816 0.3632  8 Li 2.89-3.22
9 Ca 0.0000 0.0000 0.0000  12 Li 3.32-3.33

Summary:
SG: No. 139
Electronic total energy (eV per atom): -1.892
V (Å³/cell): 206.6

=====

Entry 3:
A relaxed PrDy5Tl4 crystal, computed with PBE.

a b c (Å): 3.6078 3.6078 22.0068
angles (deg): 90.00 90.00 90.00
Last column: nearest neighbours and their distance in Å.
Element x y z (fractional)
1 Pr 0.0000 0.0000 0.0000  4 Pr 3.61, 8 Dy 3.64
2 Dy 0.5000 0.5000 0.1179  4 Tl 3.29, 4 Dy 3.61, 4 Pr 3.64
3 Dy 0.5000 0.5000 0.3084  8 Tl 3.31, 4 Dy 3.61
4 Dy 0.5000 0.5000 0.5000  8 Tl 3.31, 4 Dy 3.61
5 Dy 0.5000 0.5000 0.6916  8 Tl 3.31, 4 Dy 3.61
6 Dy 0.5000 0.5000 0.8821  4 Tl 3.29, 4 Dy 3.61, 4 Pr 3.64
7 Tl 0.0000 0.0000 0.2126  8 Dy 3.29-3.31, 4 Tl 3.61
8 Tl 0.0000 0.0000 0.4045  8 Dy 3.31, 4 Tl 3.61
9 Tl 0.0000 0.0000 0.5955  8 Dy 3.31, 4 Tl 3.61
10 Tl 0.0000 0.0000 0.7874  8 Dy 3.29-3.31, 4 Tl 3.61

Summary:
SG: No. 123
Electronic total energy (eV per atom): -3.999
V (Å³/cell): 286.5

=====

Entry 4:
A relaxed ThZrHg6 crystal, computed with PBE.

a b c (Å): 4.7585 4.7585 8.5167
angles (deg): 90.00 90.00 90.00
Last column: nearest neighbours and their distance in Å.
Element x y z (fractional)
1 Th 0.0000 0.0000 0.0000  12 Hg 3.29-3.36
2 Zr 0.0000 0.0000 0.5000  12 Hg 3.10-3.36
3 Hg 0.0000 0.5000 0.2673  8 Hg 3.10-3.36, 2 Zr 3.10, 2 Th 3.29
4 Hg 0.0000 0.5000 0.7327  8 Hg 3.10-3.36, 2 Zr 3.10, 2 Th 3.29
5 Hg 0.5000 0.0000 0.2673  8 Hg 3.10-3.36, 2 Zr 3.10, 2 Th 3.29
6 Hg 0.5000 0.0000 0.7327  8 Hg 3.10-3.36, 2 Zr 3.10, 2 Th 3.29
7 Hg 0.5000 0.5000 0.0000  8 Hg 3.29, 4 Th 3.36
8 Hg 0.5000 0.5000 0.5000  8 Hg 3.10, 4 Zr 3.36

Summary:
SG: No. 123
Electronic total energy (eV per atom): -2.331
V (Å³/cell): 192.8

=====

Entry 5:
A relaxed Ti2Ga2Ge crystal, computed with PBE.

a b c (Å): 6.5974 6.5974 3.8003
angles (deg): 90.00 90.00 90.00
Last column: nearest neighbours and their distance in Å.
Element x y z (fractional)
1 Ti 0.1747 0.3253 0.0000  6 Ga 2.63-2.78
2 Ti 0.3253 0.8253 0.0000  6 Ga 2.63-2.78
3 Ti 0.6747 0.1747 0.0000  6 Ga 2.63-2.78
4 Ti 0.8253 0.6747 0.0000  6 Ga 2.63-2.78
5 Ga 0.1297 0.6297 0.5000  1 Ga 2.42, 2 Ge 2.59, 2 Ti 2.63
6 Ga 0.3703 0.1297 0.5000  1 Ga 2.42, 2 Ge 2.59, 2 Ti 2.63
7 Ga 0.6297 0.8703 0.5000  1 Ga 2.42, 2 Ge 2.59, 2 Ti 2.63
8 Ga 0.8703 0.3703 0.5000  1 Ga 2.42, 2 Ge 2.59, 2 Ti 2.63
9 Ge 0.0000 0.0000 0.5000  4 Ga 2.59
10 Ge 0.5000 0.5000 0.5000  4 Ga 2.59

Summary:
Energy relative to the lowest polymorph listed for this composition (kJ/mol of atoms): 12.1
SG: No. 127
V (Å³/cell): 165.4

=====

Entry 6:
A relaxed LaZr2Tl2 crystal, computed with PBE.

a b c (Å): 7.7084 7.7084 7.7084
angles (deg): 146.68 146.68 47.84
Last column: nearest neighbours and their distance in Å.
Element x y z (fractional)
1 La 0.0000 0.0000 0.0000  8 Tl 3.45
2 Zr 0.2500 0.7500 0.5000  4 Tl 3.03, 4 Zr 3.13
3 Zr 0.7500 0.2500 0.5000  4 Tl 3.03, 4 Zr 3.13
4 Tl 0.3966 0.3966 0.0000  1 Tl 2.91, 4 Zr 3.03
5 Tl 0.6034 0.6034 0.0000  1 Tl 2.91, 4 Zr 3.03

Summary:
Energy relative to the lowest polymorph listed for this composition (kJ/mol of atoms): 0.0
SG: No. 139
V (Å³/cell): 137.7

=====

Entry 7:
A relaxed LiSc2Ga5 crystal, computed with PBE.

a b c (Å): 5.7818 5.7818 5.7818
angles (deg): 119.71 119.71 90.51
Last column: nearest neighbours and their distance in Å.
Element x y z (fractional)
1 Li 0.0000 0.0000 0.0000  8 Ga 2.89, 4 Sc 2.90
2 Sc 0.0011 0.5011 0.5000  10 Ga 2.89-2.90, 2 Li 2.90
3 Sc 0.5011 0.0011 0.5000  10 Ga 2.89-2.90, 2 Li 2.90
4 Ga 0.0016 0.0016 0.5011  2 Li 2.89, 6 Ga 2.89-2.91, 4 Sc 2.89
5 Ga 0.0016 0.5006 0.0000  2 Li 2.89, 6 Ga 2.89-2.91, 4 Sc 2.89
6 Ga 0.5006 0.0016 0.0000  2 Li 2.89, 6 Ga 2.89-2.91, 4 Sc 2.89
7 Ga 0.5006 0.5006 0.4989  2 Li 2.89, 6 Ga 2.89-2.91, 4 Sc 2.89
8 Ga 0.5021 0.5021 0.0000  8 Ga 2.89, 4 Sc 2.90

Summary:
SG: No. 107
Electronic total energy (eV per atom): -4.213
V (Å³/cell): 137.3

=====

Entry 8:
A relaxed V2AgSb2 crystal, computed with PBE.

a b c (Å): 7.6470 7.6470 3.2859
angles (deg): 90.00 90.00 90.00
Last column: nearest neighbours and their distance in Å.
Element x y z (fractional)
1 V 0.1231 0.3769 0.0000  1 V 2.66, 6 Sb 2.75-2.84
2 V 0.3769 0.8769 0.0000  1 V 2.66, 6 Sb 2.75-2.84
3 V 0.6231 0.1231 0.0000  1 V 2.66, 6 Sb 2.75-2.84
4 V 0.8769 0.6231 0.0000  1 V 2.66, 6 Sb 2.75-2.84
5 Ag 0.0000 0.0000 0.5000  4 Sb 2.86
6 Ag 0.5000 0.5000 0.5000  4 Sb 2.86
7 Sb 0.1626 0.6626 0.5000  6 V 2.75-2.84, 2 Ag 2.86
8 Sb 0.3374 0.1626 0.5000  6 V 2.75-2.84, 2 Ag 2.86
9 Sb 0.6626 0.8374 0.5000  6 V 2.75-2.84, 2 Ag 2.86
10 Sb 0.8374 0.3374 0.5000  6 V 2.75-2.84, 2 Ag 2.86

Summary:
Energy relative to the lowest polymorph listed for this composition (kJ/mol of atoms): 9.1
SG: No. 127
V (Å³/cell): 192.1
Energy relative to the elements, uncorrected (eV per formula unit): 1.03

=====

Entry 9:
A relaxed Mg2VNi2 crystal, computed with PBE.

a b c (Å): 7.2953 7.2953 2.7222
angles (deg): 90.00 90.00 90.00
Last column: nearest neighbours and their distance in Å.
Element x y z (fractional)
1 Mg 0.1320 0.3680 0.0000  6 Ni 2.46-2.60, 3 Mg 2.72
2 Mg 0.3680 0.8680 0.0000  6 Ni 2.46-2.60, 3 Mg 2.72
3 Mg 0.6320 0.1320 0.0000  6 Ni 2.46-2.60, 3 Mg 2.72
4 Mg 0.8680 0.6320 0.0000  6 Ni 2.46-2.60, 3 Mg 2.72
5 V 0.0000 0.0000 0.0000  2 V 2.72, 4 Mg 2.85, 8 Ni 3.03
6 V 0.5000 0.5000 0.0000  2 V 2.72, 4 Mg 2.85, 8 Ni 3.03
7 Ni 0.1690 0.6690 0.5000  6 Mg 2.46-2.60, 2 Ni 2.72
8 Ni 0.3310 0.1690 0.5000  6 Mg 2.46-2.60, 2 Ni 2.72
9 Ni 0.6690 0.8310 0.5000  6 Mg 2.46-2.60, 2 Ni 2.72
10 Ni 0.8310 0.3310 0.5000  6 Mg 2.46-2.60, 2 Ni 2.72

Summary:
Energy relative to the lowest polymorph listed for this composition (kJ/mol of atoms): 18.7
SG: No. 127
V (Å³/cell): 144.9

=====

Entry 10:
A relaxed CrHS crystal, computed with PBE.

a b c (Å): 3.7365 3.4441 3.7451
angles (deg): 90.00 119.36 90.00
Last column: nearest neighbours and their distance in Å.
Element x y z (fractional)
1 Cr 0.0000 0.0000 0.0000  2 H 1.72
2 H 0.0074 0.5000 0.9831  2 Cr 1.72
3 S 0.6660 0.0000 0.3344  3 Cr 2.16-2.17

Summary:
SG: No. 6
Electronic total energy (eV per atom): -5.680
V (Å³/cell): 42.0

=====

Entry 11:
A relaxed SrY3Mg crystal, computed with PBE.

a b c (Å): 5.7161 5.7161 5.7161
angles (deg): 90.00 90.00 90.00
Last column: nearest neighbours and their distance in Å.
Element x y z (fractional)
1 Sr 0.0000 0.0000 0.0000  6 Y 2.86
2 Y 0.0000 0.0000 0.5000  2 Sr 2.86
3 Y 0.0000 0.5000 0.0000  2 Sr 2.86
4 Y 0.5000 0.0000 0.0000  2 Sr 2.86
5 Mg 0.5000 0.5000 0.5000  12 Y 4.04

Summary:
Energy relative to the lowest polymorph listed for this composition (kJ/mol of atoms): 59.9
SG: No. 221
V (Å³/cell): 186.8

=====

Entry 12:
A relaxed SrIn2PbC crystal, computed with PBE.

a b c (Å): 5.7549 5.7549 6.5592
angles (deg): 90.00 90.00 90.00
Last column: nearest neighbours and their distance in Å.
Element x y z (fractional)
1 Sr 0.0000 0.0000 0.0000  2 Pb 3.28
2 In 0.0000 0.5000 0.5000  2 Pb 2.88
3 In 0.5000 0.0000 0.5000  2 Pb 2.88
4 Pb 0.0000 0.0000 0.5000  4 In 2.88
5 C 0.5000 0.5000 0.0000  4 Sr 4.07, 8 In 4.36

Summary:
SG: No. 123
Electronic total energy (eV per atom): -2.574
V (Å³/cell): 217.2